1.
# Y4CoMo (PBE, optimized geometry)
# calculated volume = 613.2 Å³/cell
# formation energy = 1154 meV/atom
data_Y4CoMo
_cell_length_a 8.496
_cell_length_b 8.496
_cell_length_c 8.496
_cell_angle_alpha 90.00
_cell_angle_beta 90.00
_cell_angle_gamma 90.00
_space_group_name_H-M_alt 'F -4 3 m'
_space_group_IT_number 216
_space_group_name_Hall 'F -4 2 3'
loop_
_atom_site_label
_atom_site_fract_x
_atom_site_fract_y
_atom_site_fract_z
_atom_site_occupancy
Y1 0.125 0.125 0.125 1
Co1 0.250 0.250 0.750 1
Mo1 0.000 0.000 0.500 1

---

2.
# Y2Co2Mo (PBE, optimized geometry)
# calculated volume = 186.2 Å³/cell
# formation energy = 33 meV/atom
data_Y2Co2Mo
_cell_length_a 6.443
_cell_length_b 6.443
_cell_length_c 4.486
_cell_angle_alpha 90.00
_cell_angle_beta 90.00
_cell_angle_gamma 90.00
_space_group_name_H-M_alt 'P 4/m b m'
_space_group_IT_number 127
_space_group_name_Hall '-P 4 2ab'
loop_
_atom_site_label
_atom_site_fract_x
_atom_site_fract_y
_atom_site_fract_z
_atom_site_occupancy
Y1 0.179 0.321 0.000 1
Co1 0.134 0.634 0.500 1
Mo1 0.000 0.000 0.500 1

---

3.
# Y2Co2Mo (PBE, optimized geometry)
# calculated volume = 181.8 Å³/cell
# formation energy = 561 meV/atom
data_Y2Co2Mo
_cell_length_a 7.756
_cell_length_b 7.756
_cell_length_c 3.022
_cell_angle_alpha 90.00
_cell_angle_beta 90.00
_cell_angle_gamma 90.00
_space_group_name_H-M_alt 'P 4/m b m'
_space_group_IT_number 127
_space_group_name_Hall '-P 4 2ab'
loop_
_atom_site_label
_atom_site_fract_x
_atom_site_fract_y
_atom_site_fract_z
_atom_site_occupancy
Y1 0.148 0.352 0.000 1
Co1 0.158 0.658 0.500 1
Mo1 0.000 0.000 0.000 1

---

4.
# YCoMo3 (PBE, optimized geometry)
# calculated volume = 105.8 Å³/cell
# formation energy = 2867 meV/atom
data_YCoMo3
_cell_length_a 4.729
_cell_length_b 4.729
_cell_length_c 4.729
_cell_angle_alpha 90.00
_cell_angle_beta 90.00
_cell_angle_gamma 90.00
_space_group_name_H-M_alt 'P m -3 m'
_space_group_IT_number 221
_space_group_name_Hall '-P 4 2 3'
loop_
_atom_site_label
_atom_site_fract_x
_atom_site_fract_y
_atom_site_fract_z
_atom_site_occupancy
Y1 0.000 0.000 0.000 1
Co1 0.500 0.500 0.500 1
Mo1 0.000 0.000 0.500 1